Cu2SiAg | PBE-GGA | relaxed

For the formation energy (no corrections), the calculation gives 0.13 eV per atom. For the total magnetic moment, the calculation gives 0.00 μB/atom.

Unit cell a=3.8668 b=3.8668 c=7.4087 alpha=90.00 beta=90.00 gamma=90.00
Closest atoms and distances in Å follow each position.
Space group I4/mmm (No. 139)
Inequivalent atoms, fractional coordinates:
Cu1 0.0000 0.5000 0.2500  4 Si 2.68, 4 Ag 2.68, 4 Cu 2.73
Si1 0.0000 0.0000 0.0000  8 Cu 2.68, 4 Ag 2.73
Ag1 0.0000 0.0000 0.5000  8 Cu 2.68, 4 Si 2.73